Here is a relaxed structure of YZr6Sn4 from OQMD. Energies are from PBE.

Structure (POSCAR):
```
YZr6Sn4
1.0
3.051 1.761 8.019
-3.051 1.761 8.019
0.000 -3.523 8.019
Y Zr Sn
1 6 4
Direct
0.000 0.000 0.000
0.107 0.604 0.604
0.396 0.396 0.893
0.396 0.893 0.396
0.604 0.107 0.604
0.604 0.604 0.107
0.893 0.396 0.396
0.124 0.124 0.124
0.333 0.333 0.333
0.667 0.667 0.667
0.876 0.876 0.876
```

Its crystal system is trigonal. As for the space-group type: R-3m, No. 166.

---

Here is a relaxed structure of Re2Sn from OQMD. Energies are from PBE.

Structure (POSCAR):
```
Re2Sn
1.0
0.000 6.205 6.205
6.205 0.000 6.205
6.205 6.205 0.000
Re Sn
4 2
Direct
0.000 0.000 0.000
0.000 0.000 0.500
0.000 0.500 0.000
0.500 0.000 0.000
0.125 0.125 0.125
0.875 0.875 0.875
```

As for the energy above the lowest structure with this stoichiometry: 3462 meV/atom. Its crystal system is cubic. As for the space-group type: Fd-3m, No. 227.

---

Here is a relaxed structure of CsNaZr from OQMD. Energies are from PBE.

Structure (POSCAR):
```
CsNaZr
1.0
0.000 4.261 4.261
4.261 0.000 4.261
4.261 4.261 0.000
Cs Na Zr
1 1 1
Direct
0.000 0.000 0.000
0.500 0.500 0.500
0.250 0.250 0.250
```

Its crystal system is cubic. As for the space-group type: F-43m, No. 216.

---

Here is a relaxed structure of SrTbGa4Pt2 from OQMD. Energies are from PBE.

Structure (POSCAR):
```
SrTbGa4Pt2
1.0
6.896 0.000 0.000
0.000 2.200 5.214
0.000 -2.200 5.214
Sr Tb Ga Pt
1 1 4 2
Direct
0.000 0.000 0.000
0.500 0.840 0.840
0.199 0.285 0.285
0.310 0.558 0.558
0.690 0.558 0.558
0.801 0.285 0.285
0.000 0.715 0.715
0.500 0.127 0.127
```

Its crystal system is orthorhombic. As for the space-group type: Amm2, No. 38.

---

Here is a relaxed structure of SiNiGe2 from OQMD. Energies are from PBE.

Structure (POSCAR):
```
SiNiGe2
1.0
0.000 3.139 3.139
3.139 0.000 3.139
3.139 3.139 0.000
Si Ni Ge
1 1 2
Direct
0.000 0.000 0.000
0.750 0.750 0.750
0.250 0.250 0.250
0.500 0.500 0.500
```

Its crystal system is cubic. As for the space-group type: F-43m, No. 216.

---

Here is a relaxed structure of BaFeB2 from OQMD. Energies are from PBE.

Structure (POSCAR):
```
BaFeB2
1.0
0.000 3.215 3.215
3.215 0.000 3.215
3.215 3.215 0.000
Ba Fe B
1 1 2
Direct
0.000 0.000 0.000
0.250 0.250 0.250
0.500 0.500 0.500
0.750 0.750 0.750
```

Its crystal system is cubic. As for the space-group type: F-43m, No. 216.

---

| no. | DFT total energy (eV/atom) |
| --- | --- |
| 1 | -7.230 |
| 2 | -5.500 |
| 3 | -2.083 |
| 4 | -4.608 |
| 5 | -4.730 |
| 6 | -4.029 |